(1)
DFT (PBE) results for a relaxed CsCuB2H8 crystal.

## Properties
The total energy comes out at -3.893 eV/atom. For the magnetization, the calculation gives 0.000 μB per atom.

a = 7.5184 Å, b = 7.5184 Å, c = 7.5184 Å
α = 36.87°, β = 36.87°, γ = 36.87°
Sites, in units of the cell vectors:
Cs 0.0000 0.0000 0.0000
Cu 0.5000 0.5000 0.5000
B 0.2347 0.2347 0.2347
B 0.7653 0.7653 0.7653
H 0.0718 0.6396 0.6429
H 0.2929 0.2929 0.2929
H 0.3571 0.9282 0.3604
H 0.3604 0.3571 0.9282
H 0.6396 0.6429 0.0718
H 0.6429 0.0718 0.6396
H 0.7071 0.7071 0.7071
H 0.9282 0.3604 0.3571


(2)
DFT (PBE) results for a relaxed La3PmTm2P6 crystal.

## Properties
For the magnetization, the calculation gives 0.000 μB per atom. The energy of formation comes out at -1.563 eV/atom.

a = 7.1788 Å, b = 7.1788 Å, c = 7.1761 Å
α = 99.60°, β = 99.60°, γ = 120.00°
Sites, in units of the cell vectors:
La 0.0000 0.0000 0.0000
La 0.3343 0.6657 0.0000
La 0.6657 0.3343 0.0000
Pm 0.5000 0.5000 0.5000
Tm 0.1670 0.8330 0.5000
Tm 0.8330 0.1670 0.5000
P 0.0818 0.4211 0.2634
P 0.2391 0.2391 0.7356
P 0.4211 0.0818 0.2634
P 0.5789 0.9182 0.7366
P 0.7609 0.7609 0.2644
P 0.9182 0.5789 0.7366


(3)
DFT (PBE) results for a relaxed Li8Mg3Hg2 crystal.

## Properties
For the magnetization, the calculation gives 0.000 μB per atom. The energy of formation comes out at -0.068 eV/atom.

a = 11.0925 Å, b = 11.0925 Å, c = 11.0925 Å
α = 27.88°, β = 27.88°, γ = 27.88°
Sites, in units of the cell vectors:
Li 0.2195 0.2195 0.2195
Li 0.2328 0.2328 0.7291
Li 0.2328 0.7291 0.2328
Li 0.2709 0.7672 0.7672
Li 0.7291 0.2328 0.2328
Li 0.7672 0.2709 0.7672
Li 0.7672 0.7672 0.2709
Li 0.7805 0.7805 0.7805
Mg 0.3172 0.3172 0.3172
Mg 0.5000 0.5000 0.5000
Mg 0.6828 0.6828 0.6828
Hg 0.1340 0.1340 0.1340
Hg 0.8660 0.8660 0.8660


(4)
DFT (PBE) results for a relaxed Ta2AlFe crystal.

## Properties
For the magnetization, the calculation gives 0.370 μB per atom. The energy of formation comes out at -0.036 eV/atom.

a = 5.1189 Å, b = 5.1189 Å, c = 5.1189 Å
α = 136.40°, β = 136.40°, γ = 63.36°
Sites, in units of the cell vectors:
Ta 0.0000 0.0000 0.0000
Ta 0.7500 0.2500 0.5000
Al 0.2500 0.7500 0.5000
Fe 0.5000 0.5000 0.0000


(5)
DFT (PBE) results for a relaxed PuUIn4 crystal.

## Properties
For the magnetization, the calculation gives 1.548 μB per atom. The energy of formation comes out at 0.033 eV/atom.

a = 5.9789 Å, b = 5.9789 Å, c = 5.9789 Å
α = 60.00°, β = 60.00°, γ = 60.00°
Sites, in units of the cell vectors:
Pu 0.0000 0.0000 0.0000
U 0.2500 0.2500 0.2500
In 0.1252 0.6249 0.6249
In 0.6249 0.1252 0.6249
In 0.6249 0.6249 0.1252
In 0.6249 0.6249 0.6249


(6)
DFT (PBE) results for a relaxed Mg2HRuPt crystal.

## Properties
The total energy comes out at -4.756 eV/atom. For the magnetization, the calculation gives 0.000 μB per atom.

a = 4.3524 Å, b = 4.3524 Å, c = 3.4442 Å
α = 90.00°, β = 90.00°, γ = 90.00°
Sites, in units of the cell vectors:
Mg 0.0000 0.5000 0.0000
Mg 0.5000 0.0000 0.0000
H 0.0000 0.0000 0.0000
Ru 0.0000 0.0000 0.5000
Pt 0.5000 0.5000 0.5000


(7)
DFT (PBE) results for a relaxed NbCoNi4 crystal.

## Properties
For the magnetization, the calculation gives 0.072 μB per atom. The energy of formation comes out at -0.116 eV/atom.

a = 4.0618 Å, b = 4.0618 Å, c = 4.9964 Å
α = 90.00°, β = 90.00°, γ = 120.00°
Sites, in units of the cell vectors:
Nb 0.0000 0.0000 0.0000
Co 0.0000 0.0000 0.5000
Ni 0.3333 0.6667 0.2627
Ni 0.3333 0.6667 0.7373
Ni 0.6667 0.3333 0.2627
Ni 0.6667 0.3333 0.7373


(8)
DFT (PBE) results for a relaxed KPdF2 crystal.

## Properties
As for the uncorrected formation energy: -1.29 eV per atom. For the magnetization, the calculation gives 0.250 μB per atom.

a = 4.4189 Å, b = 4.4189 Å, c = 4.4189 Å
α = 60.00°, β = 60.00°, γ = 60.00°
Sites, in units of the cell vectors:
K 0.0000 0.0000 0.0000
Pd 0.5000 0.5000 0.5000
F 0.2500 0.2500 0.2500
F 0.7500 0.7500 0.7500


(9)
DFT (PBE) results for a relaxed Ac2BrO2 crystal.

## Properties
As for the uncorrected formation energy: -2.79 eV per atom. For the magnetization, the calculation gives 0.173 μB per atom.

a = 4.4146 Å, b = 4.4146 Å, c = 6.9870 Å
α = 105.51°, β = 105.51°, γ = 89.84°
Sites, in units of the cell vectors:
Ac 0.1737 0.1737 0.3191
Ac 0.8263 0.8263 0.6809
Br 0.5000 0.5000 0.0000
O 0.2479 0.7521 0.5000
O 0.7521 0.2479 0.5000


(10)
DFT (PBE) results for a relaxed HoZnCo crystal.

## Properties
For the magnetization, the calculation gives 0.000 μB per atom. The energy of formation comes out at -0.289 eV/atom.

a = 11.7469 Å, b = 3.9060 Å, c = 6.9221 Å
α = 90.00°, β = 90.00°, γ = 90.00°
Sites, in units of the cell vectors:
Ho 0.0445 0.0000 0.2476
Ho 0.2500 0.0000 0.8627
Ho 0.4555 0.0000 0.2476
Ho 0.5445 0.0000 0.7524
Ho 0.7500 0.0000 0.1373
Ho 0.9555 0.0000 0.7524
Zn 0.1339 0.5000 0.5777
Zn 0.2500 0.5000 0.2107
Zn 0.3661 0.5000 0.5777
Zn 0.6339 0.5000 0.4223
Zn 0.7500 0.5000 0.7893
Zn 0.8661 0.5000 0.4223
Co 0.0905 0.5000 0.9512
Co 0.2500 0.0000 0.4481
Co 0.4095 0.5000 0.9512
Co 0.5905 0.5000 0.0488
Co 0.7500 0.0000 0.5519
Co 0.9095 0.5000 0.0488


(11)
DFT (PBE) results for a relaxed TlFeRu crystal.

## Properties
For the magnetization, the calculation gives 1.201 μB per atom. The energy of formation comes out at 0.624 eV/atom.

a = 3.0509 Å, b = 3.0509 Å, c = 6.4470 Å
α = 90.00°, β = 90.00°, γ = 120.00°
Sites, in units of the cell vectors:
Tl 0.0000 0.0000 0.0000
Fe 0.6667 0.3333 0.3643
Ru 0.3333 0.6667 0.6341